(1)
A plane-wave DFT calculation with PBEsol was carried out for a relaxed ReOs2Pb crystal.

Values from the calculation:
E_tot: -9.689 eV/atom
Energy of formation: 0.752 eV per atom
Total moment: 0.00 μB/atom
Space-group type: R3m
Volume: 65.42 Å³/f.u.

POSCAR file:
```
ReOs2Pb
1.0
2.8586 0.0000 0.0000
1.4293 2.4756 0.0000
1.4293 0.8252 9.2448
Os Pb Re
2 1 1
direct
0.9999 0.9999 0.0002 Os
0.2577 0.2577 0.2270 Os
0.5007 0.5007 0.4978 Pb
0.7417 0.7417 0.7750 Re
```


(2)
A plane-wave DFT calculation with PBEsol was carried out for a relaxed ReOs2Pb crystal.

Values from the calculation:
E_tot: -9.362 eV/atom
Energy of formation: 1.078 eV per atom
Total moment: 0.00 μB/atom
Space-group type: P4/mmm
Volume: 64.66 Å³/f.u.

POSCAR file:
```
ReOs2Pb
1.0
-0.6145 -2.6541 1.1458
1.6300 -2.0504 -3.8750
4.2748 -0.1737 1.8901
Os Pb Re
2 1 1
direct
0.0000 0.0000 0.5000 Os
0.0000 0.5000 0.0000 Os
0.5000 0.5000 0.5000 Pb
0.5000 0.0000 0.0000 Re
```


(3)
A plane-wave DFT calculation with PBEsol was carried out for a relaxed ReOsPb2 crystal.

Values from the calculation:
E_tot: -7.109 eV/atom
Energy of formation: 1.278 eV per atom
Total moment: 0.00 μB/atom
Space-group type: F-43m
Volume: 76.02 Å³/f.u.

POSCAR file:
```
ReOsPb2
1.0
-2.2572 -0.4978 -4.1554
2.2940 -1.8140 -3.7493
-1.1122 -4.3387 -1.5966
Os Pb Re
1 2 1
direct
0.5000 0.5000 0.5000 Os
0.0000 0.0000 0.0000 Pb
0.7500 0.7500 0.7500 Pb
0.2500 0.2500 0.2500 Re
```


(4)
A plane-wave DFT calculation with PBEsol was carried out for a relaxed Re2OsPb crystal.

Values from the calculation:
E_tot: -9.936 eV/atom
Energy of formation: 0.784 eV per atom
Total moment: 0.00 μB/atom
Space-group type: Pmm2
Volume: 66.93 Å³/f.u.

POSCAR file:
```
Re2OsPb
1.0
2.8631 0.0000 0.0000
0.0000 3.8733 0.0000
0.0000 0.0000 6.0351
Os Pb Re
1 1 2
direct
0.0000 0.0000 0.4721 Os
0.5000 0.5000 0.7426 Pb
0.0000 0.0000 0.0493 Re
0.5000 0.5000 0.2360 Re
```


(5)
A plane-wave DFT calculation with PBEsol was carried out for a relaxed ReOs2Pb crystal.

Values from the calculation:
E_tot: -9.488 eV/atom
Energy of formation: 0.952 eV per atom
Total moment: 0.00 μB/atom
Space-group type: Cmmm
Volume: 63.84 Å³/f.u.

POSCAR file:
```
ReOs2Pb
1.0
2.8952 0.0000 0.0000
0.0000 4.7884 0.0054
0.0000 -1.3178 4.6035
Os Pb Re
2 1 1
direct
0.0000 0.5000 0.0000 Os
0.0000 0.0000 0.5000 Os
0.5000 0.0000 0.0000 Pb
0.5000 0.5000 0.5000 Re
```


(6)
A plane-wave DFT calculation with PBEsol was carried out for a relaxed Re2OsPb crystal.

Values from the calculation:
E_tot: -9.633 eV/atom
Energy of formation: 1.087 eV per atom
Total moment: 0.00 μB/atom
Space-group type: P4/mmm
Volume: 64.96 Å³/f.u.

POSCAR file:
```
Re2OsPb
1.0
2.9480 0.0000 0.0000
0.0000 4.6942 0.0000
0.0000 0.0000 4.6942
Os Pb Re
1 1 2
direct
0.5000 0.5000 0.5000 Os
0.5000 0.0000 0.0000 Pb
0.0000 0.0000 0.5000 Re
0.0000 0.5000 0.0000 Re
```


(7)
A plane-wave DFT calculation with PBEsol was carried out for a relaxed OsRh2Pb crystal.

Values from the calculation:
E_tot: -7.795 eV/atom
Energy of formation: 0.328 eV per atom
Total moment: 0.00 μB/atom
Space-group type: P4/mmm
Volume: 64.25 Å³/f.u.

POSCAR file:
```
OsRh2Pb
1.0
-1.4055 2.1508 1.2441
-2.4382 -0.9187 -1.1663
-1.3212 -4.5206 6.3228
Os Pb Rh
1 1 2
direct
0.5000 0.5000 0.0000 Os
0.5000 0.5000 0.5000 Pb
0.0000 0.0000 0.7798 Rh
0.0000 0.0000 0.2202 Rh
```


(8)
A plane-wave DFT calculation with PBEsol was carried out for a relaxed OsPb3S crystal.

Values from the calculation:
E_form (uncorrected): 1.355 eV per atom
E_tot: -4.364 eV/atom
Total moment: 0.43 μB/atom
Space-group type: Pm-3m
Volume: 145.05 Å³/f.u.

POSCAR file:
```
OsPb3S
1.0
-3.0680 2.9019 -3.1261
-3.3320 0.7735 3.9881
2.6629 4.3112 1.3886
Pb S Os
3 1 1
direct
0.0000 0.5000 0.0000 Pb
0.0000 0.0000 0.5000 Pb
0.5000 0.0000 0.0000 Pb
0.0000 0.0000 0.0000 S
0.5000 0.5000 0.5000 Os
```